VASP calculation (PBE) on a relaxed structure of CoReBr2.

Cell: 3.1562 3.1562 25.3247 Å, 90.00 90.00 120.00°
With the nearest neighbours (Å) after each atom.
Space group R-3m (No. 166, hexagonal axes)
Unique sites:
Co1 0.0000 0.0000 0.0000 [3 per cell]  2 Br 2.29
Re1 0.0000 0.0000 0.5000 [3 per cell]  6 Br 2.66
Br1 0.0000 0.0000 0.0903 [6 per cell]  1 Co 2.29

Summary:
Formation energy without anion corrections ... 1091 meV/atom
Total magnetic moment ... 3.42 μB/cell